Record 1
Crystalline SiCl at its relaxed geometry. Source: Alexandria via LeMat-Bulk, functional PBE.

Output
**Formation energy (no corrections)**: 505 meV/atom
**Space-group type**: P4/nmm
**E above lowest polymorph**: 1180 meV/atom
**Magnetization**: 0.000 Bohr magnetons per cell

Lattice parameters (Å, degrees): 4.3251 4.3251 4.2343 90.00 90.00 90.00
With the nearest neighbours (Å) after each atom.
Fractional positions:
Si1 0.2500 0.2500 0.0899  4 Cl 2.77
Si2 0.7500 0.7500 0.9101  4 Cl 2.77
Cl1 0.2500 0.7500 0.5000  4 Si 2.77, 4 Cl 3.06
Cl2 0.7500 0.2500 0.5000  4 Si 2.77, 4 Cl 3.06

=====

Record 2
Crystalline SiHgSe at its relaxed geometry. Source: Alexandria via LeMat-Bulk, functional PBE.

Output
**Formation energy (no corrections)**: 226 meV/atom
**Space-group type**: Fmm2
**E above lowest polymorph**: 283 meV/atom
**Magnetization**: 0.000 Bohr magnetons per cell

Lattice parameters (Å, degrees): 8.3983 7.9246 3.6926 84.21 69.85 25.94
With the nearest neighbours (Å) after each atom.
Fractional positions:
Si1 0.0000 0.0000 0.0000  2 Se 2.34
Hg1 0.6823 0.6823 0.3177  2 Si 3.30, 6 Hg 3.44-3.69
Se1 0.3972 0.3972 0.6028  2 Si 2.34

=====

Record 3
Crystalline Cs2BeSnAs at its relaxed geometry. Source: Alexandria via LeMat-Bulk, functional PBE.

Output
**Energy of formation**: 0.0846 eV per atom
**Space-group type**: P4/mmm
**Magnetization**: 1.801 Bohr magnetons per cell

Lattice parameters (Å, degrees): 7.4075 7.4075 4.0347 90.00 90.00 90.00
With the nearest neighbours (Å) after each atom.
Fractional positions:
Cs1 0.0000 0.5000 0.0000  2 As 3.70, 2 Cs 4.03
Cs2 0.5000 0.0000 0.0000  2 As 3.70, 2 Cs 4.03
Be1 0.0000 0.0000 0.5000  2 As 2.02
Sn1 0.5000 0.5000 0.5000  2 Sn 4.03, 8 Cs 4.22
As1 0.0000 0.0000 0.0000  2 Be 2.02

=====

> The highest magnetization belongs to which entry?

Cs2BeSnAs

=====

> Number 3 is which compound?

Cs2BeSnAs